Here is a geometry-optimized NbAlTl structure from the Open Quantum Materials Database. Energies are from GGA-PBE.

Calculated values
Energy relative to the lowest polymorph listed for this composition: 55 kJ/mol of formula units
Total magnetization: 2.09 μB/f.u.

```
data_NbAlTl
_cell_length_a 6.508
_cell_length_b 6.508
_cell_length_c 6.508
_cell_angle_alpha 90.00
_cell_angle_beta 90.00
_cell_angle_gamma 90.00
_symmetry_space_group_name_H-M 'F -4 3 m'
_symmetry_Int_Tables_number 216
_symmetry_space_group_name_Hall 'F -4 2 3'
loop_
_atom_site_label
_atom_site_fract_x
_atom_site_fract_y
_atom_site_fract_z
Nb1 0.000 0.000 0.000
Al1 0.000 0.000 0.500
Tl1 0.250 0.250 0.750
```


Here is a geometry-optimized TmNbAl3 structure from the Open Quantum Materials Database. Energies are from GGA-PBE.

Calculated values
Total DFT energy (no corrections): -25.982 eV/cell
Total magnetization: 0.01 μB/f.u.

```
data_TmNbAl3
_cell_length_a 3.007
_cell_length_b 5.583
_cell_length_c 6.801
_cell_angle_alpha 65.87
_cell_angle_beta 89.05
_cell_angle_gamma 87.81
_symmetry_space_group_name_H-M 'P 1'
_symmetry_Int_Tables_number 1
loop_
_symmetry_equiv_pos_as_xyz
'x,y,z'
loop_
_atom_site_label
_atom_site_fract_x
_atom_site_fract_y
_atom_site_fract_z
Tm1 0.000 0.000 0.000
Nb1 0.999 0.632 0.736
Al1 0.468 0.040 0.469
Al2 0.498 0.450 0.100
Al3 0.527 0.546 0.440
```


Here is a geometry-optimized U6Nb4Al43 structure from the Open Quantum Materials Database. Energies are from GGA-PBE.

Calculated values
Total DFT energy (no corrections): -559.805 eV/cell
Total magnetization: 15.25 μB/f.u.

```
data_U6Nb4Al43
_cell_length_a 11.1220
_cell_length_b 11.1220
_cell_length_c 17.5784
_cell_angle_alpha 90.00
_cell_angle_beta 90.00
_cell_angle_gamma 120.00
_symmetry_space_group_name_H-M 'P 63/m c m'
_symmetry_Int_Tables_number 193
_symmetry_space_group_name_Hall '-P 6c 2'
loop_
_atom_site_label
_atom_site_fract_x
_atom_site_fract_y
_atom_site_fract_z
U1 0.0000 0.4775 0.0880
Nb1 0.0000 0.0000 0.0000
Nb2 0.0000 0.2740 0.2500
Al1 0.0000 0.1486 0.7500
Al2 0.0000 0.1607 0.1148
Al3 0.0000 0.2559 0.5297
Al4 0.1454 0.5551 0.2500
Al5 0.1607 0.3963 0.6618
Al6 0.2470 0.4940 0.0000
Al7 0.3333 0.6667 0.1270
```


Here is a geometry-optimized UNbAl structure from the Open Quantum Materials Database. Energies are from GGA-PBE.

Calculated values
Energy relative to the lowest polymorph listed for this composition: 0 kJ/mol of formula units
Total magnetization: 0.08 μB/f.u.

```
data_UNbAl
_cell_length_a 6.428
_cell_length_b 6.428
_cell_length_c 6.428
_cell_angle_alpha 90.00
_cell_angle_beta 90.00
_cell_angle_gamma 90.00
_symmetry_space_group_name_H-M 'F -4 3 m'
_symmetry_Int_Tables_number 216
_symmetry_space_group_name_Hall 'F -4 2 3'
loop_
_atom_site_label
_atom_site_fract_x
_atom_site_fract_y
_atom_site_fract_z
U1 0.000 0.000 0.000
Nb1 0.250 0.250 0.750
Al1 0.000 0.000 0.500
```


Here is a geometry-optimized UNbAl structure from the Open Quantum Materials Database. Energies are from GGA-PBE.

Calculated values
Energy relative to the lowest polymorph listed for this composition: 170 kJ/mol of formula units
Total magnetization: 0.05 μB/f.u.

```
data_UNbAl
_cell_length_a 6.497
_cell_length_b 6.497
_cell_length_c 6.497
_cell_angle_alpha 90.00
_cell_angle_beta 90.00
_cell_angle_gamma 90.00
_symmetry_space_group_name_H-M 'F -4 3 m'
_symmetry_Int_Tables_number 216
_symmetry_space_group_name_Hall 'F -4 2 3'
loop_
_atom_site_label
_atom_site_fract_x
_atom_site_fract_y
_atom_site_fract_z
U1 0.000 0.000 0.000
Nb1 0.250 0.250 0.750
Al1 0.250 0.250 0.250
```


Here is a geometry-optimized NbAlW6 structure from the Open Quantum Materials Database. Energies are from GGA-PBE.

Calculated values
Total DFT energy (no corrections): -272.476 eV/cell
Total magnetization: 0.00 μB/f.u.

```
data_NbAlW6
_cell_length_a 7.1865
_cell_length_b 7.1865
_cell_length_c 8.7852
_cell_angle_alpha 90.00
_cell_angle_beta 90.00
_cell_angle_gamma 120.00
_symmetry_space_group_name_H-M 'R -3'
_symmetry_Int_Tables_number 148
_symmetry_space_group_name_Hall '-R 3'
loop_
_atom_site_label
_atom_site_fract_x
_atom_site_fract_y
_atom_site_fract_z
Nb1 0.0000 0.0000 0.0000
Al1 0.0000 0.0000 0.5000
W1 0.0010 0.2505 0.2504
```


Here is a geometry-optimized NbAlW2 structure from the Open Quantum Materials Database. Energies are from GGA-PBE.

Calculated values
Total DFT energy (no corrections): -158.039 eV/cell
Total magnetization: 0.00 μB/f.u.

```
data_NbAlW2
_cell_length_a 6.397
_cell_length_b 6.397
_cell_length_c 6.397
_cell_angle_alpha 90.00
_cell_angle_beta 90.00
_cell_angle_gamma 90.00
_symmetry_space_group_name_H-M 'F -4 3 m'
_symmetry_Int_Tables_number 216
_symmetry_space_group_name_Hall 'F -4 2 3'
loop_
_atom_site_label
_atom_site_fract_x
_atom_site_fract_y
_atom_site_fract_z
Nb1 0.000 0.000 0.000
Al1 0.250 0.250 0.750
W1 0.000 0.000 0.500
W2 0.250 0.250 0.250
```


Here is a geometry-optimized Nb2AlW structure from the Open Quantum Materials Database. Energies are from GGA-PBE.

Calculated values
Total DFT energy (no corrections): -147.073 eV/cell
Total magnetization: 0.08 μB/f.u.

```
data_Nb2AlW
_cell_length_a 6.469
_cell_length_b 6.469
_cell_length_c 6.469
_cell_angle_alpha 90.00
_cell_angle_beta 90.00
_cell_angle_gamma 90.00
_symmetry_space_group_name_H-M 'F -4 3 m'
_symmetry_Int_Tables_number 216
_symmetry_space_group_name_Hall 'F -4 2 3'
loop_
_atom_site_label
_atom_site_fract_x
_atom_site_fract_y
_atom_site_fract_z
Nb1 0.000 0.000 0.000
Nb2 0.250 0.250 0.250
Al1 0.000 0.000 0.500
W1 0.250 0.250 0.750
```


Here is a geometry-optimized YNbAl structure from the Open Quantum Materials Database. Energies are from GGA-PBE.

Calculated values
Energy relative to the lowest polymorph listed for this composition: 0 kJ/mol of formula units
Total magnetization: 0.03 μB/f.u.

```
data_YNbAl
_cell_length_a 6.614
_cell_length_b 6.614
_cell_length_c 6.614
_cell_angle_alpha 90.00
_cell_angle_beta 90.00
_cell_angle_gamma 90.00
_symmetry_space_group_name_H-M 'F -4 3 m'
_symmetry_Int_Tables_number 216
_symmetry_space_group_name_Hall 'F -4 2 3'
loop_
_atom_site_label
_atom_site_fract_x
_atom_site_fract_y
_atom_site_fract_z
Y1 0.000 0.000 0.000
Nb1 0.000 0.000 0.500
Al1 0.250 0.250 0.750
```


Here is a geometry-optimized YNbAl structure from the Open Quantum Materials Database. Energies are from GGA-PBE.

Calculated values
Energy relative to the lowest polymorph listed for this composition: 193 kJ/mol of formula units
Total magnetization: 3.00 μB/f.u.

```
data_YNbAl
_cell_length_a 6.885
_cell_length_b 6.885
_cell_length_c 6.885
_cell_angle_alpha 90.00
_cell_angle_beta 90.00
_cell_angle_gamma 90.00
_symmetry_space_group_name_H-M 'F -4 3 m'
_symmetry_Int_Tables_number 216
_symmetry_space_group_name_Hall 'F -4 2 3'
loop_
_atom_site_label
_atom_site_fract_x
_atom_site_fract_y
_atom_site_fract_z
Y1 0.000 0.000 0.000
Nb1 0.250 0.250 0.250
Al1 0.250 0.250 0.750
```


Here is a geometry-optimized Y2NbAl structure from the Open Quantum Materials Database. Energies are from GGA-PBE.

Calculated values
Total DFT energy (no corrections): -104.650 eV/cell
Total magnetization: 0.01 μB/f.u.

```
data_Y2NbAl
_cell_length_a 7.136
_cell_length_b 7.136
_cell_length_c 7.136
_cell_angle_alpha 90.00
_cell_angle_beta 90.00
_cell_angle_gamma 90.00
_symmetry_space_group_name_H-M 'F -4 3 m'
_symmetry_Int_Tables_number 216
_symmetry_space_group_name_Hall 'F -4 2 3'
loop_
_atom_site_label
_atom_site_fract_x
_atom_site_fract_y
_atom_site_fract_z
Y1 0.000 0.000 0.000
Y2 0.250 0.250 0.250
Nb1 0.250 0.250 0.750
Al1 0.000 0.000 0.500
```


Here is a geometry-optimized NbAl2Zn structure from the Open Quantum Materials Database. Energies are from GGA-PBE.

Calculated values
Total DFT energy (no corrections): -72.491 eV/cell
Total magnetization: 0.99 μB/f.u.

```
data_NbAl2Zn
_cell_length_a 6.369
_cell_length_b 6.369
_cell_length_c 6.369
_cell_angle_alpha 90.00
_cell_angle_beta 90.00
_cell_angle_gamma 90.00
_symmetry_space_group_name_H-M 'F -4 3 m'
_symmetry_Int_Tables_number 216
_symmetry_space_group_name_Hall 'F -4 2 3'
loop_
_atom_site_label
_atom_site_fract_x
_atom_site_fract_y
_atom_site_fract_z
Nb1 0.000 0.000 0.000
Al1 0.000 0.000 0.500
Al2 0.250 0.250 0.750
Zn1 0.250 0.250 0.250
```